YZn2Cr: optimized geometry, PBE.

Summary:
Space group ... Fm-3m
Volume ... 17.530 Å³ per atom
Magnetic moment ... 0.00 μB/cell
E_tot ... -4.3996 eV per atom
ΔE to the lowest computed polymorph ... 0.2484 eV/atom
Calculated formation energy ... 0.26 eV per atom

Lattice parameters (Å, degrees): 4.629 4.629 4.629 60.00 60.00 60.00
Element x y z (fractional)
Y  0.500  0.500  0.500
Zn  0.250  0.250  0.250
Zn  0.750  0.750  0.750
Cr  0.000  0.000  0.000